## 1
DFT (GGA-PBE) results for Cs2RhN after structural relaxation.

Summary:
For the density of states at the Fermi level, the calculation gives 0.88 states/eV per atom. Its space-group type is I-42d.

Lattice parameters (Å, degrees): 8.6094 8.6094 8.6094 137.74 137.74 61.30
Last column: nearest neighbours and their distance in Å.
Atoms (fractional coordinates):
Cs (0.1009, 0.6250, 0.9759)  2 Rh 2.79, 2 N 2.95
Cs (0.3750, 0.3509, 0.4759)  2 Rh 2.79, 2 N 2.95
Cs (0.6491, 0.1250, 0.0241)  2 Rh 2.79, 2 N 2.95
Cs (0.8750, 0.8991, 0.5241)  2 Rh 2.79, 2 N 2.95
Rh (0.0000, 0.0000, 0.0000)  4 Cs 2.79
Rh (0.7500, 0.2500, 0.5000)  4 Cs 2.79
N (0.2500, 0.7500, 0.5000)  4 Cs 2.95
N (0.5000, 0.5000, 0.0000)  4 Cs 2.95

## 2
DFT (GGA-PBE) results for Cs2RhN after structural relaxation.

Summary:
For the density of states at the Fermi level, the calculation gives 0.64 states/eV per atom. Its space-group type is Fm-3m.

Lattice parameters (Å, degrees): 5.3772 5.3772 5.3772 60.00 60.00 60.00
Last column: nearest neighbours and their distance in Å.
Atoms (fractional coordinates):
Cs (0.2500, 0.2500, 0.2500)  4 Rh 3.29, 4 N 3.29
Cs (0.7500, 0.7500, 0.7500)  4 N 3.29, 4 Rh 3.29
Rh (0.0000, 0.0000, 0.0000)  8 Cs 3.29
N (0.5000, 0.5000, 0.5000)  8 Cs 3.29

Relative energies, in eV/atom, with the most stable structure set to zero: 1 0.047; 2 0.000.